This record from Alexandria describes a relaxed structure of HgPbSe3. The functional is GGA-PBE.

Calculated values
- Fermi-level density of states: 0.6784 states/eV/atom
- Formation energy (no corrections): 132 kJ/mol of formula units
- Size of the total moment: 0.0 μB per formula unit
- Energy above the lowest structure with this stoichiometry: 0 meV per atom

Cell lengths 5.261, 5.261, 5.261 Å; angles 90.00, 90.00, 90.00 degrees
Space group Pm-3m (No. 221)
Inequivalent atoms, fractional coordinates:
Hg1 0.000 0.000 0.000 x1
Pb1 0.500 0.500 0.500 x1
Se1 0.000 0.000 0.500 x3

***

This record from Alexandria describes a relaxed structure of HgPbSe. The functional is GGA-PBE.

Calculated values
- Fermi-level density of states: 0.0028 states/eV/atom
- Formation energy (no corrections): -82 kJ/mol of formula units
- Size of the total moment: 0.0 μB per formula unit
- Energy above the lowest structure with this stoichiometry: 45 meV per atom

Cell lengths 4.3734, 4.3734, 5.7866 Å; angles 90.00, 90.00, 120.00 degrees
Space group P3m1 (No. 156)
Inequivalent atoms, fractional coordinates:
Hg1 0.0000 0.0000 0.0000 x1
Pb1 0.6667 0.3333 0.3837 x1
Se1 0.3333 0.6667 0.6360 x1

***

This record from Alexandria describes a relaxed structure of Hg2PbSe2. The functional is GGA-PBE.

Calculated values
- Fermi-level density of states: 0.4834 states/eV/atom
- Formation energy (no corrections): -42 kJ/mol of formula units
- Size of the total moment: 0.0 μB per formula unit
- Energy above the lowest structure with this stoichiometry: 21 meV per atom

Cell lengths 8.561, 8.561, 4.082 Å; angles 90.00, 90.00, 90.00 degrees
Space group P4/mbm (No. 127)
Inequivalent atoms, fractional coordinates:
Hg1 0.112 0.388 0.000 x4
Pb1 0.000 0.000 0.500 x2
Se1 0.237 0.737 0.500 x4

***

This record from Alexandria describes a relaxed structure of HgPb2Se2. The functional is GGA-PBE.

Calculated values
- Fermi-level density of states: 0.1067 states/eV/atom
- Formation energy (no corrections): -120 kJ/mol of formula units
- Size of the total moment: 0.0 μB per formula unit
- Energy above the lowest structure with this stoichiometry: 46 meV per atom

Cell lengths 8.536, 8.536, 3.908 Å; angles 90.00, 90.00, 90.00 degrees
Space group P4/mbm (No. 127)
Inequivalent atoms, fractional coordinates:
Hg1 0.000 0.000 0.000 x2
Pb1 0.151 0.349 0.500 x4
Se1 0.147 0.647 0.000 x4

***

This record from Alexandria describes a relaxed structure of HgPb2Se. The functional is GGA-PBE.

Calculated values
- Fermi-level density of states: 0.5250 states/eV/atom
- Formation energy (no corrections): -60 kJ/mol of formula units
- Size of the total moment: 0.0 μB per formula unit
- Energy above the lowest structure with this stoichiometry: 23 meV per atom

Cell lengths 3.9501, 3.9501, 26.5915 Å; angles 90.00, 90.00, 120.00 degrees
Space group R3m (No. 160, hexagonal axes)
Inequivalent atoms, fractional coordinates:
Hg1 0.0000 0.0000 0.0000 x3
Pb1 0.0000 0.0000 0.5754 x3
Pb2 0.0000 0.0000 0.7588 x3
Se1 0.0000 0.0000 0.1680 x3

***

This record from Alexandria describes a relaxed structure of HgPb2Se3. The functional is GGA-PBE.

Calculated values
- Formation energy (no corrections): -217 kJ/mol of formula units
- Size of the total moment: 0.0 μB per formula unit

Cell lengths 9.292, 4.338, 18.314 Å; angles 90.00, 90.00, 90.00 degrees
Space group Pnma (No. 62)
Inequivalent atoms, fractional coordinates:
Hg1 0.108 0.250 0.125 x4
Pb1 0.126 0.250 0.747 x4
Pb2 0.187 0.250 0.451 x4
Se1 0.058 0.250 0.901 x4
Se2 0.135 0.750 0.557 x4
Se3 0.165 0.250 0.273 x4

***

This record from Alexandria describes a relaxed structure of HgPbSe. The functional is GGA-PBE.

Calculated values
- Formation energy (no corrections): -81 kJ/mol of formula units
- Size of the total moment: 0.0 μB per formula unit
- Energy above the lowest structure with this stoichiometry: 50 meV per atom

Cell lengths 10.303, 4.550, 8.955 Å; angles 90.00, 106.45, 90.00 degrees
Space group C2/m (No. 12)
Inequivalent atoms, fractional coordinates:
Hg1 0.124 0.000 0.433 x4
Pb1 0.204 0.500 0.164 x4
Se1 0.112 0.500 0.828 x4

***

This record from Alexandria describes a relaxed structure of HgPb2Se. The functional is GGA-PBE.

Calculated values
- Fermi-level density of states: 0.4464 states/eV/atom
- Formation energy (no corrections): -39 kJ/mol of formula units
- Size of the total moment: 0.0 μB per formula unit
- Energy above the lowest structure with this stoichiometry: 77 meV per atom

Cell lengths 10.650, 4.101, 5.884 Å; angles 90.00, 115.70, 90.00 degrees
Space group C2/m (No. 12)
Inequivalent atoms, fractional coordinates:
Hg1 0.000 0.000 0.000 x2
Pb1 0.229 0.000 0.726 x4
Se1 0.000 0.500 0.500 x2

***

This record from Alexandria describes a relaxed structure of HgPb2Se. The functional is GGA-PBE.

Calculated values
- Fermi-level density of states: 0.3953 states/eV/atom
- Formation energy (no corrections): -23 kJ/mol of formula units
- Size of the total moment: 0.0 μB per formula unit
- Energy above the lowest structure with this stoichiometry: 119 meV per atom

Cell lengths 4.169, 6.093, 9.240 Å; angles 90.00, 90.00, 90.00 degrees
Space group Cmmm (No. 65)
Inequivalent atoms, fractional coordinates:
Hg1 0.000 0.000 0.000 x2
Pb1 0.000 0.500 0.275 x4
Se1 0.000 0.000 0.500 x2

***

This record from Alexandria describes a relaxed structure of HgPb2Se. The functional is GGA-PBE.

Calculated values
- Fermi-level density of states: 0.4043 states/eV/atom
- Formation energy (no corrections): -35 kJ/mol of formula units
- Size of the total moment: 0.0 μB per formula unit
- Energy above the lowest structure with this stoichiometry: 87 meV per atom

Cell lengths 4.0271, 4.0271, 25.5352 Å; angles 90.00, 90.00, 120.00 degrees
Space group R3m (No. 160, hexagonal axes)
Inequivalent atoms, fractional coordinates:
Hg1 0.0000 0.0000 0.0000 x3
Pb1 0.0000 0.0000 0.5207 x3
Pb2 0.0000 0.0000 0.7477 x3
Se1 0.0000 0.0000 0.2581 x3

***

This record from Alexandria describes a relaxed structure of HgPb2Se. The functional is GGA-PBE.

Calculated values
- Fermi-level density of states: 0.2000 states/eV/atom
- Formation energy (no corrections): -67 kJ/mol of formula units
- Size of the total moment: 0.0 μB per formula unit
- Energy above the lowest structure with this stoichiometry: 4 meV per atom

Cell lengths 12.047, 4.093, 4.872 Å; angles 90.00, 100.39, 90.00 degrees
Space group Cm (No. 8)
Inequivalent atoms, fractional coordinates:
Hg1 0.000 0.000 0.000 x2
Pb1 0.005 0.500 0.492 x2
Pb2 0.260 0.000 0.930 x2
Se1 0.244 0.500 0.485 x2

***

This record from Alexandria describes a relaxed structure of HgPb2Se. The functional is GGA-PBE.

Calculated values
- Fermi-level density of states: 0.3788 states/eV/atom
- Formation energy (no corrections): -49 kJ/mol of formula units
- Size of the total moment: 0.0 μB per formula unit
- Energy above the lowest structure with this stoichiometry: 52 meV per atom

Cell lengths 3.841, 3.866, 7.512 Å; angles 90.00, 90.00, 90.00 degrees
Space group Pmmm (No. 47)
Inequivalent atoms, fractional coordinates:
Hg1 0.000 0.000 0.000 x1
Pb1 0.500 0.500 0.273 x2
Se1 0.000 0.000 0.500 x1

***

This record from Alexandria describes a relaxed structure of Hg2PbSe2. The functional is GGA-PBE.

Calculated values
- Fermi-level density of states: 0.4583 states/eV/atom
- Formation energy (no corrections): 1 kJ/mol of formula units
- Size of the total moment: 0.0 μB per formula unit
- Energy above the lowest structure with this stoichiometry: 111 meV per atom

Cell lengths 8.279, 8.279, 3.946 Å; angles 90.00, 90.00, 90.00 degrees
Space group P4/mbm (No. 127)
Inequivalent atoms, fractional coordinates:
Hg1 0.114 0.386 0.000 x4
Pb1 0.000 0.000 0.000 x2
Se1 0.222 0.722 0.500 x4

***

This record from Alexandria describes a relaxed structure of HgPb2Se. The functional is GGA-PBE.

Calculated values
- Fermi-level density of states: 0.3414 states/eV/atom
- Formation energy (no corrections): -2 kJ/mol of formula units
- Size of the total moment: 0.0 μB per formula unit
- Energy above the lowest structure with this stoichiometry: 174 meV per atom

Cell lengths 7.124, 7.124, 12.249 Å; angles 90.00, 90.00, 90.00 degrees
Space group I-42d (No. 122)
Inequivalent atoms, fractional coordinates:
Hg1 0.000 0.000 0.000 x4
Pb1 0.241 0.250 0.625 x8
Se1 0.000 0.000 0.500 x4